Record 1
Cs3CaAs2O8 | Alexandria via LeMat-Bulk | PBE | optimized geometry; ρ = 4.193 Mg/m³; raw formation energy = -1.7448 eV/atom; space-group type = P-3m1, No. 164
1.0
-0.2213 -4.4750 4.3228
5.4985 2.1507 -1.9754
-0.1151 5.8767 6.0778
Ca O As Cs
1 8 2 3
direct
0.0000 0.0000 0.5000
0.6373 0.8187 0.3398
0.1813 0.8187 0.3398
0.1813 0.3627 0.3398
0.8187 0.1813 0.6602
0.6667 0.3333 0.9280
0.8187 0.6373 0.6602
0.3333 0.6667 0.0720
0.3627 0.1813 0.6602
0.6667 0.3333 0.7246
0.3333 0.6667 0.2754
0.0000 0.0000 0.0000
0.6667 0.3333 0.2787
0.3333 0.6667 0.7213

Record 2
GdVSi | Alexandria via LeMat-Bulk | PBE | optimized geometry; ρ = 6.357 Mg/m³; raw formation energy = -0.2292 eV/atom; space-group type = P-6m2, No. 187
1.0
3.8532 0.0000 0.0000
0.0000 4.3006 0.0000
0.0000 -2.1503 3.7244
V Si Gd
1 1 1
direct
0.1668 0.6667 0.3333
0.1665 0.0000 0.0000
0.6667 0.3333 0.6667

| no. | total magnetization (μB/cell) |
| --- | --- |
| 1 | 1.1 |
| 2 | 4.9 |